First-principles (PBE-GGA) data for a geometry-optimized CaTcRh structure, as listed in Alexandria via LeMat-Bulk.

Results
energy above the lowest structure with this stoichiometry: 195.4 meV/atom
Fermi-level density of states: 1.586 states/eV per atom

Cell: 3.8411 3.8411 8.1474 Å, 90.00 90.00 90.00°
Closest atoms and distances in Å follow each position.
Space group P4/nmm (No. 129, origin choice 2)
Asymmetric unit:
Ca 0.2500 0.2500 0.1529 [2 per cell]  4 Rh 2.90
Tc 0.2500 0.7500 0.5000 [2 per cell]  4 Rh 2.64, 4 Tc 2.72
Rh 0.2500 0.2500 0.7231 [2 per cell]  4 Tc 2.64, 4 Ca 2.90

***

First-principles (PBE-GGA) data for a geometry-optimized Ni2PbBr structure, as listed in Alexandria via LeMat-Bulk.

Results
raw formation energy: 765 meV/atom
energy above the lowest structure with this stoichiometry: 688.0 meV/atom
Fermi-level density of states: 0.901 states/eV per atom

Cell: 6.7938 6.7938 6.7938 Å, 90.00 90.00 90.00°
Closest atoms and distances in Å follow each position.
Space group F-43m (No. 216)
Asymmetric unit:
Ni 0.0000 0.0000 0.0000 [4 per cell]  4 Pb 2.94, 4 Ni 2.94
Ni 0.2500 0.2500 0.2500 [4 per cell]  4 Br 2.94, 4 Ni 2.94
Pb 0.2500 0.2500 0.7500 [4 per cell]  4 Br 2.94, 4 Ni 2.94
Br 0.0000 0.0000 0.5000 [4 per cell]  4 Pb 2.94, 4 Ni 2.94